No. 1
## Y2Pu2Ru3 (PBE)

Data for an optimized crystal structure of Y2Pu2Ru3.

Lattice parameters (Å, degrees): 3.399 7.003 7.297 106.57 103.41 104.00
Space group P-1 (No. 2)
Symmetry-distinct sites (fractional):
1 Y 0.182 0.083 0.283
2 Pu 0.405 0.583 0.229
3 Ru 0.000 0.500 0.500
4 Ru 0.371 0.766 0.977

Magnetic moment = 8.98 μB per formula unit
Uncorrected energy = -10.130 eV/atom
E_form = -144 kJ/mol of formula units


No. 2
## LiTbNiPd (PBE)

Data for an optimized crystal structure of LiTbNiPd.

Lattice parameters (Å, degrees): 6.544 6.544 6.544 90.00 90.00 90.00
Space group F-43m (No. 216)
Symmetry-distinct sites (fractional):
1 Li 0.000 0.000 0.000
2 Tb 0.000 0.000 0.500
3 Ni 0.250 0.250 0.750
4 Pd 0.250 0.250 0.250

Magnetic moment = 0.00 μB per formula unit
Uncorrected energy = -4.761 eV/atom
E_form = -147 kJ/mol of formula units


No. 3
## Lu2PbAu (PBE)

Data for an optimized crystal structure of Lu2PbAu.

Lattice parameters (Å, degrees): 3.7513 3.7513 26.3770 90.00 90.00 120.00
Space group R-3m (No. 166, hexagonal axes)
Symmetry-distinct sites (fractional):
1 Lu 0.0000 0.0000 0.2382
2 Pb 0.0000 0.0000 0.0000
3 Au 0.0000 0.0000 0.5000

Magnetic moment = 0.00 μB per formula unit
Uncorrected energy = -4.521 eV/atom
E_form = -199 kJ/mol of formula units